VASP calculation (GGA+U) on an optimized crystal structure of Mg2FeTcO.

Structure (POSCAR):
```
Mg2FeTcO
1.0
-2.642 -0.994 2.899
-0.936 -3.689 -2.118
2.939 -1.908 2.024
Fe Tc Mg O
1 1 2 1
Direct
0.500 0.500 0.500
0.000 0.500 0.000
0.000 0.000 0.500
0.500 0.000 0.000
0.000 0.000 0.000
```

- DFT total energy (eV per cell) = -25.107

VASP calculation (GGA+U) on an optimized crystal structure of Mg2FeTcO6.

Structure (POSCAR):
```
Mg2FeTcO6
1.0
5.169 0.000 0.000
2.585 4.477 0.000
2.584 1.492 4.631
Mg O Fe Tc
2 6 1 1
Direct
0.524 0.524 0.428
0.023 0.023 0.932
0.593 0.209 0.255
0.432 0.705 0.760
0.209 0.943 0.255
0.943 0.592 0.255
0.103 0.432 0.760
0.705 0.103 0.760
0.812 0.812 0.564
0.318 0.318 0.045
```

- DFT total energy (eV per cell) = -67.735

VASP calculation (GGA+U) on an optimized crystal structure of MgFeTe2O.

Structure (POSCAR):
```
MgFeTe2O
1.0
-4.628 -1.696 1.944
-0.515 -2.233 -3.175
2.484 -4.008 2.416
Te O Mg Fe
2 1 1 1
Direct
0.000 0.000 0.500
0.500 0.000 0.000
0.000 0.000 0.000
0.500 0.500 0.500
0.000 0.500 0.000
```

- DFT total energy (eV per cell) = -19.607